First-principles (PBE) data for UGeSe after structural relaxation, as listed in Alexandria via LeMat-Bulk.

```
6
Lattice="4.1591 0.0000 0.0000 -2.0795 3.6018 0.0000 0.0000 0.0000 10.8995" Properties=species:S:1:pos:R:3 pbc="T T T"
U 0.0000 0.0000 8.8263
Ge 0.0000 2.4012 10.6299
Se 2.0795 1.2006 7.2954
Ge 2.0795 1.2006 0.2696
Se 0.0000 2.4012 3.6041
U 0.0000 0.0000 2.0733
```

Results
Total magnetization = 2.22 μB per formula unit
Energy = -7.04 eV per atom
V = 163 Å³/cell


First-principles (PBE) data for U2GeSe after structural relaxation, as listed in Alexandria via LeMat-Bulk.

```
4
Lattice="3.4632 0.0000 0.0000 0.0000 3.4632 0.0000 0.0000 0.0000 7.3209" Properties=species:S:1:pos:R:3 pbc="T T T"
Ge 1.7316 1.7316 0.0000
Se 1.7316 1.7316 3.6605
U 0.0000 0.0000 1.8041
U 0.0000 0.0000 5.5168
```

Results
Energy above the most stable polymorph in this dataset = 0.26 eV/f.u.
Total magnetization = 6.16 μB per formula unit
Energy = -8.15 eV per atom
V = 88 Å³/cell


First-principles (PBE) data for U4GeSe7 after structural relaxation, as listed in Alexandria via LeMat-Bulk.

```
12
Lattice="-3.6690 -1.5327 -0.8069 3.1965 -1.1006 -2.2434 4.2956 -18.2083 15.0540" Properties=species:S:1:pos:R:3 pbc="T T T"
Se 2.7595 -9.0929 4.7241
U -1.0716 -2.6979 -0.2033
Ge 2.1478 -9.1042 7.5270
Se 1.2437 -5.2719 4.3586
Se 1.4995 -3.7519 0.3084
U 3.6806 -12.9971 7.9520
Se 1.0636 -11.7487 7.2796
U 4.8947 -18.1437 12.2070
U 0.1425 -7.8445 4.0517
Se 0.0000 0.0000 0.0000
Se 2.3236 -17.0898 11.6954
Se 3.0519 -12.9364 10.6954
```

Results
Total magnetization = 10.88 μB per formula unit
Energy = -7.07 eV per atom
V = 342 Å³/cell


First-principles (PBE) data for VGe2Se after structural relaxation, as listed in Alexandria via LeMat-Bulk.

```
8
Lattice="-0.4139 -5.4594 2.2977 5.8788 -0.0968 0.8289 2.0300 -0.5168 6.8098" Properties=species:S:1:pos:R:3 pbc="T T T"
Se 0.0000 0.0000 0.0000
Ge 3.6725 -2.4729 6.2940
Ge 6.2035 -5.2477 7.8289
Ge 4.1229 -0.9657 2.5471
V 2.7324 -2.7781 1.5633
Ge 0.9907 -3.4599 3.2028
Se 2.1743 -4.3772 5.3354
V 5.3206 -1.6959 4.6010
```

Results
Total magnetization = 1.96 μB per formula unit
Energy = -4.98 eV per atom
V = 203 Å³/cell


First-principles (PBE) data for VGeSe2 after structural relaxation, as listed in Alexandria via LeMat-Bulk.

```
8
Lattice="-3.8413 3.8973 -2.8074 -1.2416 -4.2783 -4.2403 -6.8406 -2.1193 -0.3190" Properties=species:S:1:pos:R:3 pbc="T T T"
V -2.5414 -0.1905 -3.5239
Se -3.0967 -2.5843 -3.1762
V -5.3118 -3.2941 -4.0416
Se -9.5358 -1.7776 -6.2621
Ge -6.6117 0.7937 -3.3251
Ge 0.0000 0.0000 0.0000
Se -7.0787 -1.8776 -3.0261
Se -4.1358 1.2389 -2.2691
```

Results
Total magnetization = 2.95 μB per formula unit
Energy = -5.30 eV per atom
V = 216 Å³/cell


First-principles (PBE) data for VGe3Se after structural relaxation, as listed in Alexandria via LeMat-Bulk.

```
5
Lattice="-3.5866 -2.9100 -1.3875 1.7938 -3.5259 2.7581 -2.6788 1.5351 3.7046" Properties=species:S:1:pos:R:3 pbc="T T T"
Ge -1.7933 -1.4550 -0.6938
Ge 0.8969 -1.7629 1.3791
V 0.0000 0.0000 0.0000
Se -2.2358 -2.4504 2.5376
Ge -1.3394 0.7676 1.8523
```

Results
Energy above the most stable polymorph in this dataset = 0.00 eV/f.u.
Total magnetization = 2.16 μB per formula unit
Energy = -4.90 eV per atom
V = 112 Å³/cell


| no. | raw formation energy (eV/atom) |
| --- | --- |
| 1 | -0.57 |
| 2 | -0.48 |
| 3 | -0.89 |
| 4 | 0.48 |
| 5 | -0.12 |
| 6 | 0.39 |